<A>
A relaxed structure of ZrAg2Mo, computed with GGA-PBEsol.

Results
calculated volume = 70.31 Å³/cell
total magnetic moment = 0.00 μB/f.u.

Unit cell a=2.8931 b=5.0445 c=5.6271 alpha=116.63 beta=104.90 gamma=90.00
With the nearest neighbours (Å) after each atom.
Atoms (fractional coordinates):
Ag 0.0069 0.0069 0.0138  4 Ag 2.76-2.89, 4 Mo 2.91, 2 Zr 2.93
Ag 0.7506 0.2506 0.5012  4 Ag 2.76-2.89, 2 Mo 2.80, 4 Zr 2.91
Mo 0.4996 0.4996 0.9991  2 Zr 2.75, 6 Ag 2.80-2.91, 2 Mo 2.89
Zr 0.2429 0.7429 0.4858  2 Mo 2.75, 2 Zr 2.89, 6 Ag 2.91-2.93



<B>
A relaxed structure of ZrAg2Mo, computed with GGA-PBEsol.

Results
calculated volume = 68.15 Å³/cell
total magnetic moment = 0.01 μB/f.u.

Unit cell a=3.9461 b=3.9461 c=4.3764 alpha=90.00 beta=90.00 gamma=90.00
With the nearest neighbours (Å) after each atom.
Atoms (fractional coordinates):
Ag 0.0000 0.5000 0.0000  4 Ag 2.79, 4 Zr 2.95, 4 Mo 2.95
Ag 0.5000 0.0000 0.0000  4 Ag 2.79, 4 Zr 2.95, 4 Mo 2.95
Mo 0.5000 0.5000 0.5000  4 Zr 2.79, 8 Ag 2.95
Zr 0.0000 0.0000 0.5000  4 Mo 2.79, 8 Ag 2.95



Relative to the most stable structure, the computed energies are <A> 0.139; <B> 0.000, all in eV/atom.



<A>
A relaxed structure of AgRhSeN2, computed with GGA-PBEsol.

Results
calculated volume = 76.57 Å³/cell
total magnetic moment = 0.00 μB/f.u.

Unit cell a=3.7278 b=3.7278 c=5.5102 alpha=90.00 beta=90.00 gamma=90.00
With the nearest neighbours (Å) after each atom.
Atoms (fractional coordinates):
Rh 0.0000 0.0000 0.0000  4 N 1.86
Se 0.0000 0.0000 0.5000  4 Ag 2.64, 2 Rh 2.76
Ag 0.5000 0.5000 0.5000  4 Se 2.64
N 0.0000 0.5000 0.0000  2 Rh 1.86
N 0.5000 0.0000 0.0000  2 Rh 1.86



<B>
A relaxed structure of AgRhSeN2, computed with GGA-PBEsol.

Results
calculated volume = 79.87 Å³/cell
total magnetic moment = 2.64 μB/f.u.

Unit cell a=3.8551 b=3.8551 c=5.3745 alpha=90.00 beta=90.00 gamma=90.00
With the nearest neighbours (Å) after each atom.
Atoms (fractional coordinates):
Rh 0.5000 0.5000 0.5000  4 Se 2.73
Se 0.0000 0.0000 0.5000  2 Ag 2.69, 4 Rh 2.73
Ag 0.0000 0.0000 0.0000  4 N 1.93
N 0.0000 0.5000 0.0000  2 Ag 1.93
N 0.5000 0.0000 0.0000  2 Ag 1.93



Relative to the most stable structure, the computed energies are <A> 0.000; <B> 1.149, all in eV/atom.



<A>
A relaxed structure of TcAgSN2, computed with GGA-PBEsol.

Results
calculated volume = 71.15 Å³/cell
total magnetic moment = 0.00 μB/f.u.

Unit cell a=3.7446 b=3.7446 c=5.0738 alpha=90.00 beta=90.00 gamma=90.00
With the nearest neighbours (Å) after each atom.
Atoms (fractional coordinates):
S 0.0000 0.0000 0.5000  2 Tc 2.54, 4 Ag 2.65
Tc 0.0000 0.0000 0.0000  4 N 1.87
Ag 0.5000 0.5000 0.5000  4 S 2.65
N 0.0000 0.5000 0.0000  2 Tc 1.87
N 0.5000 0.0000 0.0000  2 Tc 1.87



<B>
A relaxed structure of TcAgSN2, computed with GGA-PBEsol.

Results
calculated volume = 74.91 Å³/cell
total magnetic moment = 1.60 μB/f.u.

Unit cell a=3.9185 b=3.9185 c=4.8787 alpha=90.00 beta=90.00 gamma=90.00
With the nearest neighbours (Å) after each atom.
Atoms (fractional coordinates):
S 0.0000 0.0000 0.5000  2 Ag 2.44
Tc 0.5000 0.5000 0.5000  4 S 2.77
Ag 0.0000 0.0000 0.0000  4 N 1.96
N 0.0000 0.5000 0.0000  2 Ag 1.96
N 0.5000 0.0000 0.0000  2 Ag 1.96



Relative to the most stable structure, the computed energies are <A> 0.000; <B> 1.698, all in eV/atom.



<A>
A relaxed structure of NaAg2Sn2, computed with GGA-PBEsol.

Results
calculated volume = 224.51 Å³/cell
total magnetic moment = 0.00 μB/f.u.

Unit cell a=3.0762 b=8.5430 c=8.5430 alpha=90.00 beta=90.00 gamma=90.00
With the nearest neighbours (Å) after each atom.
Atoms (fractional coordinates):
Na 0.0000 0.0000 0.0000  2 Na 3.08, 4 Sn 3.27
Na 0.0000 0.5000 0.5000  2 Na 3.08, 4 Sn 3.27
Sn 0.0000 0.3531 0.8531  6 Ag 2.91-2.96, 2 Sn 3.08
Sn 0.0000 0.8531 0.6469  6 Ag 2.91-2.96, 2 Sn 3.08
Sn 0.0000 0.6469 0.1469  6 Ag 2.91-2.96, 2 Sn 3.08
Sn 0.0000 0.1469 0.3531  6 Ag 2.91-2.96, 2 Sn 3.08
Ag 0.5000 0.1490 0.6490  6 Sn 2.91-2.96, 2 Ag 3.08
Ag 0.5000 0.6490 0.8510  6 Sn 2.91-2.96, 2 Ag 3.08
Ag 0.5000 0.8510 0.3510  6 Sn 2.91-2.96, 2 Ag 3.08
Ag 0.5000 0.3510 0.1490  6 Sn 2.91-2.96, 2 Ag 3.08



<B>
A relaxed structure of NaAg2Sn2, computed with GGA-PBEsol.

Results
calculated volume = 118.62 Å³/cell
total magnetic moment = 0.00 μB/f.u.

Unit cell a=4.4032 b=4.4032 c=6.8651 alpha=108.71 beta=108.71 gamma=90.00
With the nearest neighbours (Å) after each atom.
Atoms (fractional coordinates):
Na 0.0000 0.0000 0.0000  8 Sn 3.42, 8 Ag 3.77
Sn 0.3852 0.3852 0.7704  4 Ag 2.75, 1 Sn 2.81
Sn 0.6148 0.6148 0.2296  4 Ag 2.75, 1 Sn 2.81
Ag 0.2500 0.7500 0.5000  4 Sn 2.75
Ag 0.7500 0.2500 0.5000  4 Sn 2.75



Relative to the most stable structure, the computed energies are <A> 0.000; <B> 0.009, all in eV/atom.



<A>
A relaxed structure of Na2Zn2Ag, computed with GGA-PBEsol.

Results
calculated volume = 212.12 Å³/cell
total magnetic moment = 0.00 μB/f.u.

Unit cell a=4.7869 b=6.6569 c=6.6569 alpha=90.00 beta=90.00 gamma=90.00
With the nearest neighbours (Å) after each atom.
Atoms (fractional coordinates):
Na 0.5000 0.1786 0.6786  6 Zn 2.98-3.18
Na 0.5000 0.6786 0.8214  6 Zn 2.98-3.18
Na 0.5000 0.8214 0.3214  6 Zn 2.98-3.18
Na 0.5000 0.3214 0.1786  6 Zn 2.98-3.18
Zn 0.0000 0.3672 0.8672  1 Zn 2.50, 2 Ag 2.60
Zn 0.0000 0.8672 0.6328  1 Zn 2.50, 2 Ag 2.60
Zn 0.0000 0.6328 0.1328  1 Zn 2.50, 2 Ag 2.60
Zn 0.0000 0.1328 0.3672  1 Zn 2.50, 2 Ag 2.60
Ag 0.0000 0.0000 0.0000  4 Zn 2.60
Ag 0.0000 0.5000 0.5000  4 Zn 2.60



<B>
A relaxed structure of Na2Zn2Ag, computed with GGA-PBEsol.

Results
calculated volume = 109.86 Å³/cell
total magnetic moment = 0.00 μB/f.u.

Unit cell a=3.4883 b=3.4883 c=9.3598 alpha=100.74 beta=100.74 gamma=90.00
With the nearest neighbours (Å) after each atom.
Atoms (fractional coordinates):
Na 0.3981 0.3981 0.7961  4 Ag 3.08, 4 Zn 3.19
Na 0.6019 0.6019 0.2039  4 Ag 3.08, 4 Zn 3.19
Zn 0.2500 0.7500 0.5000  4 Zn 2.47
Zn 0.7500 0.2500 0.5000  4 Zn 2.47
Ag 0.0000 0.0000 0.0000  8 Na 3.08



Relative to the most stable structure, the computed energies are <A> 0.000; <B> 0.084, all in eV/atom.



<A>
A relaxed structure of NaZn2Ag2, computed with GGA-PBEsol.

Results
calculated volume = 94.18 Å³/cell
total magnetic moment = 0.00 μB/f.u.

Unit cell a=3.8731 b=3.8731 c=6.8495 alpha=106.42 beta=106.42 gamma=90.00
With the nearest neighbours (Å) after each atom.
Atoms (fractional coordinates):
Na 0.0000 0.0000 0.0000  8 Ag 3.06
Zn 0.2500 0.7500 0.5000  4 Ag 2.63, 4 Zn 2.74
Zn 0.7500 0.2500 0.5000  4 Ag 2.63, 4 Zn 2.74
Ag 0.3917 0.3917 0.7834  4 Zn 2.63, 1 Ag 2.72
Ag 0.6083 0.6083 0.2166  4 Zn 2.63, 1 Ag 2.72



<B>
A relaxed structure of NaZn2Ag2, computed with GGA-PBEsol.

Results
calculated volume = 171.60 Å³/cell
total magnetic moment = 0.00 μB/f.u.

Unit cell a=2.7956 b=7.8347 c=7.8347 alpha=90.00 beta=90.00 gamma=90.00
With the nearest neighbours (Å) after each atom.
Atoms (fractional coordinates):
Na 0.0000 0.0000 0.0000  2 Na 2.80, 4 Ag 3.06
Na 0.0000 0.5000 0.5000  2 Na 2.80, 4 Ag 3.06
Zn 0.5000 0.1645 0.6645  6 Ag 2.64-2.73, 2 Zn 2.80
Zn 0.5000 0.6645 0.8355  6 Ag 2.64-2.73, 2 Zn 2.80
Zn 0.5000 0.8355 0.3355  6 Ag 2.64-2.73, 2 Zn 2.80
Zn 0.5000 0.3355 0.1645  6 Ag 2.64-2.73, 2 Zn 2.80
Ag 0.0000 0.3671 0.8671  6 Zn 2.64-2.73, 3 Ag 2.80-2.95
Ag 0.0000 0.8671 0.6329  6 Zn 2.64-2.73, 3 Ag 2.80-2.95
Ag 0.0000 0.6329 0.1329  6 Zn 2.64-2.73, 3 Ag 2.80-2.95
Ag 0.0000 0.1329 0.3671  6 Zn 2.64-2.73, 3 Ag 2.80-2.95



Relative to the most stable structure, the computed energies are <A> 0.107; <B> 0.000, all in eV/atom.